Record 1
# CuSbIr2 (PBE, relaxed)
# **Density**: 13.6 g/cm³
# **D(E_F)**: 0.9881 states/eV per atom
# **Formation energy from raw total energies**: 350 meV/atom
data_CuSbIr2
_chemical_formula_sum 'Cu4 Sb4 Ir8'
_symmetry_space_group_name_H-M 'I -4 2 d'
_symmetry_Int_Tables_number 122
_symmetry_space_group_name_Hall 'I -4 2bw'
_cell_length_a 3.953
_cell_length_b 3.953
_cell_length_c 17.747
_cell_angle_alpha 90.00
_cell_angle_beta 90.00
_cell_angle_gamma 90.00
loop_
_atom_site_label
_atom_site_fract_x
_atom_site_fract_y
_atom_site_fract_z
Cu1 0.000 0.000 0.000
Sb1 0.000 0.000 0.500
Ir1 0.208 0.250 0.125

Record 2
# VCo4Pt (PBE, relaxed)
# **Density**: 11.0 g/cm³
# **D(E_F)**: 1.6237 states/eV per atom
# **ΔE to the lowest computed polymorph**: 0.011 eV per atom
# **ΔE_f**: -102 meV/atom
data_VCo4Pt
_chemical_formula_sum 'V4 Co16 Pt4'
_symmetry_space_group_name_H-M 'F -4 3 m'
_symmetry_Int_Tables_number 216
_symmetry_space_group_name_Hall 'F -4 2 3'
_cell_length_a 6.632
_cell_length_b 6.632
_cell_length_c 6.632
_cell_angle_alpha 90.00
_cell_angle_beta 90.00
_cell_angle_gamma 90.00
loop_
_atom_site_label
_atom_site_fract_x
_atom_site_fract_y
_atom_site_fract_z
V1 0.000 0.000 0.000
Co1 0.125 0.125 0.625
Pt1 0.250 0.250 0.250

Record 3
# AcSiRhF (PBE, relaxed)
# **Density**: 8.2 g/cm³
# **D(E_F)**: 0.4669 states/eV per atom
# **Formation energy from raw total energies**: -2025 meV/atom
data_AcSiRhF
_chemical_formula_sum 'Ac2 Si2 Rh2 F2'
_symmetry_space_group_name_H-M 'P 4/n m m'
_symmetry_Int_Tables_number 129
_cell_length_a 4.146
_cell_length_b 4.146
_cell_length_c 8.917
_cell_angle_alpha 90.00
_cell_angle_beta 90.00
_cell_angle_gamma 90.00
loop_
_symmetry_equiv_pos_as_xyz
'x,y,z'
'-x,-y,-z'
'-y+1/2,x,z'
'y+1/2,-x,-z'
'-x+1/2,-y+1/2,z'
'x+1/2,y+1/2,-z'
'y,-x+1/2,z'
'-y,x+1/2,-z'
'x+1/2,-y,-z'
'-x+1/2,y,z'
'-y,-x,-z'
'y,x,z'
'-x,y+1/2,-z'
'x,-y+1/2,z'
'y+1/2,x+1/2,-z'
'-y+1/2,-x+1/2,z'
loop_
_atom_site_label
_atom_site_fract_x
_atom_site_fract_y
_atom_site_fract_z
Ac1 0.250 0.250 0.189
Si1 0.250 0.250 0.639
Rh1 0.250 0.750 0.500
F1 0.250 0.750 0.000